{"formula": "Ti2V2O7", "functional": "PBE with a Hubbard U", "state": "optimized geometry", "lattice": [[-1.203, 1.858, -4.641], [3.341, -3.272, -2.560], [-4.829, -2.200, -1.004]], "species": ["Ti", "Ti", "V", "V", "O", "O", "O", "O", "O", "O", "O"], "frac_coords": [[0.489, 0.619, 0.269], [0.511, 0.381, 0.731], [0.950, 0.808, 0.696], [0.050, 0.192, 0.304], [0.254, 0.910, 0.417], [0.653, 0.655, 0.933], [0.746, 0.090, 0.583], [0.347, 0.345, 0.067], [0.000, 0.000, 0.000], [0.766, 0.532, 0.423], [0.234, 0.468, 0.577]], "total_energy_ev_per_atom": -8.462, "volume_a3_per_cell": 139.45}